[1]
Material: ZrBi2B
Method: DFT, PBE-GGA
State: optimized geometry

Cell and atoms, written as POSCAR:
```
ZrBi2B
1.0
7.295 0.000 0.000
0.000 7.295 0.000
3.648 3.648 3.500
Bi B Zr
4 2 2
direct
0.198 0.625 0.250
0.375 0.448 0.750
0.552 0.125 0.250
0.875 0.802 0.750
0.500 0.500 0.000
0.250 0.750 0.500
0.000 0.000 0.000
0.750 0.250 0.500
```

## Properties
formation energy from the elements = 663 meV per atom
calculated volume = 23.28 A^3/atom
ρ = 9.3 g/cm3
VASP energy = -40.67 eV per cell

[2]
Material: BIF2
Method: DFT, PBE-GGA
State: optimized geometry

Cell and atoms, written as POSCAR:
```
BIF2
1.0
3.047 -2.180 2.284
-0.350 -4.341 0.539
2.776 -2.699 -2.065
F I B
2 1 1
direct
0.250 0.250 0.250
0.750 0.750 0.750
0.500 0.500 0.500
0.000 0.000 0.000
```

## Properties
formation energy from raw total energies = 0.63 eV per atom
calculated volume = 14.94 A^3/atom
ρ = 4.9 g/cm3
VASP energy = -9.46 eV per cell

[3]
Material: Be2TlAg
Method: DFT, PBE-GGA
State: optimized geometry

Cell and atoms, written as POSCAR:
```
Be2TlAg
1.0
-1.540 0.339 3.837
1.579 -2.236 3.117
3.264 3.232 2.581
Be Tl Ag
2 1 1
direct
0.576 0.576 0.265
0.924 0.924 0.235
0.750 0.750 0.750
0.250 0.250 0.250
```

## Properties
formation energy from the elements = 391 meV per atom
calculated volume = 18.51 A^3/atom
ρ = 7.4 g/cm3
VASP energy = -11.10 eV per cell

[4]
Material: NpH6Rh4
Method: DFT, PBE-GGA
State: optimized geometry

Cell and atoms, written as POSCAR:
```
NpH6Rh4
1.0
5.248 -0.278 -2.624
-1.296 3.904 -2.302
-0.803 0.055 5.555
H Rh Np
6 4 1
direct
0.488 0.846 0.514
0.510 0.063 0.964
0.038 0.837 0.507
0.570 0.343 0.515
0.082 0.362 0.537
0.594 0.556 0.036
0.735 0.824 0.901
0.320 0.132 0.596
0.343 0.764 0.062
0.774 0.483 0.381
0.048 0.291 0.987
```

## Properties
calculated volume = 9.45 A^3/atom
ρ = 10.5 g/cm3
VASP energy = -63.44 eV per cell